Entry from Alexandria via LeMat-Bulk: ZrSc2 at its PBEsol-relaxed geometry (SCAN).

Results
As for the volume: 22.843 Å³ per atom. As for the crystal system: monoclinic. The value obtained for the total energy is -19.72 eV/atom.

a = 9.6845 Å, b = 5.6310 Å, c = 5.9483 Å
α = 90.00°, β = 122.32°, γ = 90.00°
With the nearest neighbours (Å) after each atom.
Space group C2/c (No. 15)
One atom of each set of equivalent atoms:
Zr: 0.0000 0.0756 0.2500 [4 per cell]  2 Zr 3.09, 10 Sc 3.11-3.32
Sc: 0.1670 0.4123 0.7406 [8 per cell]  5 Zr 3.11-3.32, 7 Sc 3.12-3.30